Density functional theory data (PBE) for crystalline Tm6Bi3N at its relaxed geometry.

## Properties
E_form (uncorrected) ... -645 meV per atom

abc: 11.6889 14.5571 6.9644
angles: 90.00 90.00 90.00
Closest atoms and distances in Å follow each position.
Space group Cmc2_1 (No. 36)
One atom of each set of equivalent atoms:
1 Tm 0.0000 0.0621 0.0000 x4  1 N 2.16
2 Tm 0.0000 0.2348 0.5895 x4  1 N 2.18
3 Tm 0.1571 0.2595 0.0258 x8  1 N 2.22
4 Tm 0.1638 0.4492 0.5473 x8  4 Bi 3.03-3.22
5 Bi 0.0000 0.3988 0.2238 x4  6 Tm 3.05-3.17
6 Bi 0.1656 0.0981 0.3605 x8  7 Tm 3.03-3.31
7 N 0.0000 0.2015 0.8942 x4  4 Tm 2.16-2.22

Density functional theory data (PBE) for crystalline YMgCr at its relaxed geometry.

## Properties
ΔE_f ... 986 meV/atom

abc: 7.0185 7.0185 7.0185
angles: 90.00 90.00 90.00
Closest atoms and distances in Å follow each position.
Space group F-43m (No. 216)
One atom of each set of equivalent atoms:
1 Y 0.0000 0.0000 0.0000 x4  4 Mg 3.04, 4 Cr 3.04
2 Mg 0.2500 0.2500 0.7500 x4  4 Y 3.04
3 Cr 0.2500 0.2500 0.2500 x4  4 Y 3.04

Density functional theory data (PBE) for crystalline Er2TmIr at its relaxed geometry.

## Properties
ΔE_f ... -619 meV/atom
Energy relative to the lowest polymorph listed for this composition ... 0.000 eV/atom

abc: 7.1664 9.1010 6.3533
angles: 90.00 90.00 90.00
Closest atoms and distances in Å follow each position.
Space group Pnma (No. 62)
One atom of each set of equivalent atoms:
1 Er 0.1782 0.0616 0.1757 x8  3 Ir 2.84-3.18
2 Tm 0.0337 0.2500 0.6268 x4  2 Ir 2.74-2.83
3 Ir 0.1141 0.7500 0.9609 x4  2 Tm 2.74-2.83, 4 Er 2.84-2.90